# HfH3Rh3 PBE optimized geometry
# calculated volume: 10.4 Å³/atom
# final energy: -6.2956 eV per atom
data_HfH3Rh3
_symmetry_space_group_name_H-M 'P 1'
_symmetry_Int_Tables_number 1
_cell_length_a 5.261
_cell_length_b 5.261
_cell_length_c 5.261
_cell_angle_alpha 90.00
_cell_angle_beta 90.00
_cell_angle_gamma 90.00
loop_
_symmetry_equiv_pos_as_xyz
'x,y,z'
loop_
_atom_site_label
_atom_site_type_symbol
_atom_site_fract_x
_atom_site_fract_y
_atom_site_fract_z
Rh1 Rh 0.000 0.250 0.500
Rh2 Rh 0.000 0.750 0.500
Rh3 Rh 0.500 0.000 0.750
Rh4 Rh 0.750 0.500 0.000
Rh5 Rh 0.500 0.000 0.250
Rh6 Rh 0.250 0.500 0.000
Hf1 Hf 0.500 0.500 0.500
Hf2 Hf 0.000 0.000 0.000
H1 H 0.250 0.000 0.500
H2 H 0.000 0.500 0.250
H3 H 0.500 0.750 0.000
H4 H 0.750 0.000 0.500
H5 H 0.000 0.500 0.750
H6 H 0.500 0.250 0.000



# HfHRh2 PBE optimized geometry
# calculated volume: 13.8 Å³/atom
# final energy: -7.2366 eV per atom
data_HfHRh2
_symmetry_space_group_name_H-M 'P 1'
_symmetry_Int_Tables_number 1
_cell_length_a 3.110
_cell_length_b 3.110
_cell_length_c 5.695
_cell_angle_alpha 90.00
_cell_angle_beta 90.00
_cell_angle_gamma 90.00
loop_
_symmetry_equiv_pos_as_xyz
'x,y,z'
loop_
_atom_site_label
_atom_site_type_symbol
_atom_site_fract_x
_atom_site_fract_y
_atom_site_fract_z
Rh1 Rh 0.000 0.000 0.775
Rh2 Rh 0.000 0.000 0.225
Hf1 Hf 0.500 0.500 0.500
H1 H 0.500 0.500 0.000



# HfHRh2 PBE optimized geometry
# calculated volume: 14.0 Å³/atom
# final energy: -7.1329 eV per atom
data_HfHRh2
_symmetry_space_group_name_H-M 'P 1'
_symmetry_Int_Tables_number 1
_cell_length_a 4.290
_cell_length_b 4.290
_cell_length_c 4.290
_cell_angle_alpha 60.00
_cell_angle_beta 60.00
_cell_angle_gamma 60.00
loop_
_symmetry_equiv_pos_as_xyz
'x,y,z'
loop_
_atom_site_label
_atom_site_type_symbol
_atom_site_fract_x
_atom_site_fract_y
_atom_site_fract_z
Rh1 Rh 0.250 0.250 0.250
Rh2 Rh 0.750 0.750 0.750
Hf1 Hf 0.500 0.500 0.500
H1 H 0.000 0.000 0.000



# Hf2H4Rh3 PBE optimized geometry
# calculated volume: 11.0 Å³/atom
# final energy: -6.6041 eV per atom
data_Hf2H4Rh3
_symmetry_space_group_name_H-M 'P 1'
_symmetry_Int_Tables_number 1
_cell_length_a 4.203
_cell_length_b 4.851
_cell_length_c 5.650
_cell_angle_alpha 106.43
_cell_angle_beta 90.00
_cell_angle_gamma 115.67
loop_
_symmetry_equiv_pos_as_xyz
'x,y,z'
loop_
_atom_site_label
_atom_site_type_symbol
_atom_site_fract_x
_atom_site_fract_y
_atom_site_fract_z
Hf1 Hf 0.367 0.734 0.213
Hf2 Hf 0.633 0.266 0.787
H1 H 0.836 0.671 0.139
H2 H 0.851 0.703 0.660
H3 H 0.149 0.297 0.340
H4 H 0.164 0.329 0.861
Rh1 Rh 0.317 0.634 0.671
Rh2 Rh 0.000 0.000 0.000
Rh3 Rh 0.683 0.366 0.329



- Among the records above, which one has the highest final energy?
  HfH3Rh3